1.
A plane-wave DFT calculation with PBE was carried out for a relaxed structure of Sm5Se4Br.

Unit cell a=18.0370 b=18.0370 c=18.0370 alpha=13.09 beta=13.09 gamma=13.09
Atoms (fractional coordinates):
Sm: 0.0000 0.0000 0.0000
Sm: 0.2060 0.2060 0.2060
Sm: 0.3992 0.3992 0.3992
Sm: 0.6008 0.6008 0.6008
Sm: 0.7940 0.7940 0.7940
Se: 0.0973 0.0973 0.0973
Se: 0.3007 0.3007 0.3007
Se: 0.6993 0.6993 0.6993
Se: 0.9027 0.9027 0.9027
Br: 0.5000 0.5000 0.5000

Computed properties:
E in eV per atom: -5.564

2.
A plane-wave DFT calculation with PBE was carried out for a relaxed structure of Sm4Se3Br.

Unit cell a=14.7079 b=14.7079 c=14.7079 alpha=16.05 beta=16.05 gamma=16.05
Atoms (fractional coordinates):
Sm: 0.1168 0.1168 0.1168
Sm: 0.3753 0.3753 0.3753
Sm: 0.6247 0.6247 0.6247
Sm: 0.8832 0.8832 0.8832
Se: 0.0000 0.0000 0.0000
Se: 0.2533 0.2533 0.2533
Se: 0.7467 0.7467 0.7467
Br: 0.5000 0.5000 0.5000

Computed properties:
E in eV per atom: -5.481

3.
A plane-wave DFT calculation with PBE was carried out for a relaxed structure of Sm4Se5Br.

Unit cell a=8.8192 b=10.1525 c=7.1955 alpha=90.00 beta=90.00 gamma=90.00
Atoms (fractional coordinates):
Sm: 0.0312 0.2500 0.0355
Sm: 0.2500 0.0081 0.5115
Sm: 0.2500 0.4919 0.5115
Sm: 0.4688 0.2500 0.0355
Sm: 0.5312 0.7500 0.9645
Sm: 0.7500 0.5081 0.4885
Sm: 0.7500 0.9919 0.4885
Sm: 0.9688 0.7500 0.9645
Se: 0.0087 0.5492 0.2414
Se: 0.0087 0.9508 0.2414
Se: 0.2500 0.2500 0.3281
Se: 0.4913 0.5492 0.2414
Se: 0.4913 0.9508 0.2414
Se: 0.5087 0.0492 0.7586
Se: 0.5087 0.4508 0.7586
Se: 0.7500 0.7500 0.6719
Se: 0.9913 0.0492 0.7586
Se: 0.9913 0.4508 0.7586
Br: 0.2500 0.7500 0.7183
Br: 0.7500 0.2500 0.2817

Computed properties:
E in eV per atom: -5.441

4.
A plane-wave DFT calculation with PBE was carried out for a relaxed structure of Sm6Se8Br.

Unit cell a=11.4987 b=11.4987 c=4.2765 alpha=90.00 beta=90.00 gamma=120.00
Atoms (fractional coordinates):
Sm: 0.1390 0.4677 0.2530
Sm: 0.3288 0.8610 0.2530
Sm: 0.4677 0.3288 0.7470
Sm: 0.5323 0.6712 0.2530
Sm: 0.6712 0.1390 0.7470
Sm: 0.8610 0.5323 0.7470
Se: 0.0481 0.6650 0.2466
Se: 0.3333 0.6667 0.7516
Se: 0.3350 0.3831 0.2466
Se: 0.3831 0.0481 0.7534
Se: 0.6169 0.9519 0.2466
Se: 0.6650 0.6169 0.7534
Se: 0.6667 0.3333 0.2484
Se: 0.9519 0.3350 0.7534
Br: 0.0000 0.0000 0.5000

Computed properties:
E in eV per atom: -5.564

5.
A plane-wave DFT calculation with PBE was carried out for a relaxed structure of SmSeBr.

Unit cell a=4.2759 b=4.2759 c=6.8117 alpha=90.00 beta=90.00 gamma=120.00
Atoms (fractional coordinates):
Sm: 0.0000 0.0000 0.0000
Se: 0.6667 0.3333 0.2024
Br: 0.3333 0.6667 0.7367

Computed properties:
E in eV per atom: -5.116

6.
A plane-wave DFT calculation with PBE was carried out for a relaxed structure of Sm2Se2Br.

Unit cell a=4.2243 b=5.7736 c=12.6332 alpha=90.00 beta=90.00 gamma=90.00
Atoms (fractional coordinates):
Sm: 0.0000 0.0000 0.1789
Sm: 0.0000 0.0000 0.8211
Sm: 0.5000 0.5000 0.3211
Sm: 0.5000 0.5000 0.6789
Se: 0.0000 0.5000 0.1658
Se: 0.0000 0.5000 0.8342
Se: 0.5000 0.0000 0.3342
Se: 0.5000 0.0000 0.6658
Br: 0.0000 0.5000 0.5000
Br: 0.5000 0.0000 0.0000

Computed properties:
Energy above the lowest structure with this stoichiometry in meV/atom: 0.0
E in eV per atom: -5.375

no.,uncorrected formation energy (eV/atom),theoretical density (g cm⁻³)
1,-1.643,7.28
2,-1.605,7.20
3,-1.644,5.55
4,-1.707,5.47
5,-1.824,4.76
6,-1.759,5.80